1.
DFT (PBE-GGA) results for crystalline HfGaTcH2 at its relaxed geometry.

Computed properties:
DFT total energy ... -6.385 eV/atom
Density of states at the Fermi level ... 1.3 states/eV/cell
Volume ... 11.09 A^3/atom

Unit cell a=5.349 b=5.349 c=6.387 alpha=90.00 beta=90.00 gamma=142.64
Positions (direct):
Hf 0.184 0.816 0.750
Hf 0.816 0.184 0.250
Ga 0.101 0.899 0.250
Ga 0.899 0.101 0.750
Tc 0.500 0.500 0.000
Tc 0.500 0.500 0.500
H 0.324 0.676 0.052
H 0.324 0.676 0.448
H 0.676 0.324 0.552
H 0.676 0.324 0.948

2.
DFT (PBE-GGA) results for crystalline FeHgTeRh2 at its relaxed geometry.

Computed properties:
Raw formation energy ... 401 kJ/mol of formula units
Density of states at the Fermi level ... 7.6 states/eV/cell
Volume ... 20.01 A^3/atom

Unit cell a=4.575 b=4.575 c=4.780 alpha=90.00 beta=90.00 gamma=90.00
Positions (direct):
Fe 0.000 0.000 0.000
Hg 0.500 0.500 0.500
Te 0.000 0.000 0.500
Rh 0.000 0.500 0.000
Rh 0.500 0.000 0.000

3.
DFT (PBE-GGA) results for crystalline Tm2Al3Ga2 at its relaxed geometry.

Computed properties:
Distance to the lowest polymorph of the same formula ... 0 meV/atom
Density of states at the Fermi level ... 3.3 states/eV/cell
Volume ... 19.68 A^3/atom

Unit cell a=5.551 b=5.551 c=6.555 alpha=98.99 beta=98.99 gamma=43.77
Positions (direct):
Tm 0.118 0.118 0.325
Tm 0.882 0.882 0.675
Al 0.198 0.198 0.866
Al 0.500 0.500 0.000
Al 0.802 0.802 0.134
Ga 0.404 0.404 0.355
Ga 0.596 0.596 0.645

4.
DFT (PBE-GGA) results for crystalline RbHg2Bi at its relaxed geometry.

Computed properties:
DFT total energy ... -1.484 eV/atom
Density of states at the Fermi level ... 1.7 states/eV/cell
Volume ... 33.15 A^3/atom

Unit cell a=3.815 b=3.815 c=9.109 alpha=90.00 beta=90.00 gamma=90.00
Positions (direct):
Rb 0.000 0.000 0.000
Hg 0.500 0.500 0.273
Hg 0.500 0.500 0.727
Bi 0.000 0.000 0.500

5.
DFT (PBE-GGA) results for crystalline AsHS at its relaxed geometry.

Computed properties:
Distance to the lowest polymorph of the same formula ... 150 meV/atom
Volume ... 22.53 A^3/atom

Unit cell a=4.930 b=5.148 c=6.305 alpha=109.98 beta=105.29 gamma=103.84
Positions (direct):
As 0.101 0.229 0.198
As 0.899 0.771 0.802
H 0.158 0.671 0.900
H 0.842 0.329 0.100
S 0.177 0.983 0.624
S 0.823 0.017 0.376

6.
DFT (PBE-GGA) results for crystalline La3Ga2BRu3 at its relaxed geometry.

Computed properties:
DFT total energy ... -6.394 eV/atom
Density of states at the Fermi level ... 6.0 states/eV/cell
Volume ... 20.12 A^3/atom

Unit cell a=7.689 b=7.689 c=3.537 alpha=90.00 beta=90.00 gamma=120.00
Positions (direct):
La 0.000 0.355 0.000
La 0.355 0.000 0.000
La 0.645 0.645 0.000
Ga 0.333 0.667 0.500
Ga 0.667 0.333 0.500
B 0.000 0.000 0.000
Ru 0.000 0.789 0.500
Ru 0.211 0.211 0.500
Ru 0.789 0.000 0.500

7.
DFT (PBE-GGA) results for crystalline CaTa2O6 at its relaxed geometry.

Computed properties:
Raw formation energy ... -2621 kJ/mol of formula units
Density of states at the Fermi level ... 0.0 states/eV/cell
Volume ... 12.80 A^3/atom

Unit cell a=11.215 b=7.576 c=5.422 alpha=90.00 beta=90.00 gamma=90.00
Positions (direct):
Ca 0.041 0.250 0.042
Ca 0.459 0.750 0.542
Ca 0.541 0.250 0.458
Ca 0.959 0.750 0.958
Ta 0.141 0.505 0.537
Ta 0.141 0.995 0.537
Ta 0.359 0.005 0.037
Ta 0.359 0.495 0.037
Ta 0.641 0.505 0.963
Ta 0.641 0.995 0.963
Ta 0.859 0.005 0.463
Ta 0.859 0.495 0.463
O 0.024 0.540 0.271
O 0.024 0.960 0.271
O 0.122 0.750 0.660
O 0.144 0.250 0.449
O 0.213 0.060 0.868
O 0.213 0.440 0.868
O 0.287 0.560 0.368
O 0.287 0.940 0.368
O 0.356 0.750 0.949
O 0.378 0.250 0.160
O 0.476 0.040 0.771
O 0.476 0.460 0.771
O 0.524 0.540 0.229
O 0.524 0.960 0.229
O 0.622 0.750 0.840
O 0.644 0.250 0.051
O 0.713 0.060 0.632
O 0.713 0.440 0.632
O 0.787 0.560 0.132
O 0.787 0.940 0.132
O 0.856 0.750 0.551
O 0.878 0.250 0.340
O 0.976 0.040 0.729
O 0.976 0.460 0.729

8.
DFT (PBE-GGA) results for crystalline LiCd at its relaxed geometry.

Computed properties:
DFT total energy ... -1.472 eV/atom
Density of states at the Fermi level ... 2.4 states/eV/cell
Volume ... 21.01 A^3/atom

Unit cell a=7.853 b=7.853 c=7.853 alpha=91.84 beta=91.84 gamma=159.35
Positions (direct):
Li 0.097 0.167 0.264
Li 0.167 0.903 0.070
Li 0.833 0.097 0.930
Li 0.903 0.833 0.736
Cd 0.096 0.657 0.753
Cd 0.343 0.096 0.439
Cd 0.657 0.904 0.561
Cd 0.904 0.343 0.247

9.
DFT (PBE-GGA) results for crystalline CrNi2Rh3 at its relaxed geometry.

Computed properties:
Distance to the lowest polymorph of the same formula ... 124 meV/atom
Density of states at the Fermi level ... 17.7 states/eV/cell
Volume ... 13.17 A^3/atom

Unit cell a=6.951 b=6.951 c=4.630 alpha=90.00 beta=90.00 gamma=135.08
Positions (direct):
Cr 0.147 0.853 0.750
Cr 0.853 0.147 0.250
Ni 0.233 0.233 0.000
Ni 0.233 0.233 0.500
Ni 0.767 0.767 0.000
Ni 0.767 0.767 0.500
Rh 0.066 0.432 0.750
Rh 0.361 0.639 0.250
Rh 0.432 0.066 0.250
Rh 0.568 0.934 0.750
Rh 0.639 0.361 0.750
Rh 0.934 0.568 0.250

10.
DFT (PBE-GGA) results for crystalline NaInF at its relaxed geometry.

Computed properties:
Distance to the lowest polymorph of the same formula ... 7 meV/atom
Raw formation energy ... -455 kJ/mol of formula units
Density of states at the Fermi level ... 1.8 states/eV/cell
Volume ... 20.68 A^3/atom

Unit cell a=6.473 b=3.109 c=6.165 alpha=90.00 beta=90.00 gamma=90.00
Positions (direct):
Na 0.000 0.000 0.000
Na 0.500 0.000 0.000
In 0.250 0.500 0.488
In 0.750 0.500 0.512
F 0.250 0.500 0.060
F 0.750 0.500 0.940

11.
DFT (PBE-GGA) results for crystalline LiDyYNi at its relaxed geometry.

Computed properties:
DFT total energy ... -4.828 eV/atom
Density of states at the Fermi level ... 3.4 states/eV/cell
Volume ... 21.22 A^3/atom

Unit cell a=4.933 b=4.933 c=4.933 alpha=60.00 beta=60.00 gamma=60.00
Positions (direct):
Li 0.000 0.000 0.000
Dy 0.750 0.750 0.750
Y 0.250 0.250 0.250
Ni 0.500 0.500 0.500

12.
DFT (PBE-GGA) results for crystalline Rb3PbCl6 at its relaxed geometry.

Computed properties:
Distance to the lowest polymorph of the same formula ... 65 meV/atom
Raw formation energy ... -1404 kJ/mol of formula units
Density of states at the Fermi level ... 12.1 states/eV/cell
Volume ... 39.13 A^3/atom

Unit cell a=8.210 b=8.210 c=8.210 alpha=60.00 beta=60.00 gamma=60.00
Positions (direct):
Rb 0.000 0.000 0.000
Rb 0.250 0.250 0.250
Rb 0.750 0.750 0.750
Pb 0.500 0.500 0.500
Cl 0.267 0.267 0.733
Cl 0.267 0.733 0.267
Cl 0.267 0.733 0.733
Cl 0.733 0.267 0.267
Cl 0.733 0.267 0.733
Cl 0.733 0.733 0.267